1.
First-principles (PBE) data for a relaxed MgIn4Co crystal, as listed in Alexandria.

Results
DFT total energy: -3.27 eV/atom
formation energy from the elements: 8 meV/atom
polymorph energy (0 for the lowest one): 0.000 kcal/mol of atoms
ρ: 7.00 g cm⁻³
calculated volume: 21.46 Å³ per atom

Unit cell a=6.774 b=6.774 c=11.225 alpha=90.00 beta=90.00 gamma=90.00
Space group I4/mcm (No. 140)
Unique sites:
Mg 0.000 0.000 0.000 x4
In 0.164 0.336 0.141 x16
Co 0.000 0.000 0.250 x4


2.
First-principles (PBE) data for a relaxed Mg2In8Co crystal, as listed in Alexandria.

Results
DFT total energy: -2.92 eV/atom
formation energy from the elements: 6 meV/atom
ρ: 6.61 g cm⁻³
calculated volume: 23.45 Å³ per atom

Unit cell a=4.532 b=4.532 c=12.555 alpha=90.00 beta=90.00 gamma=90.00
Space group P4/mmm (No. 123)
Unique sites:
Mg 0.000 0.000 0.193 x2
In 0.000 0.500 0.000 x2
In 0.000 0.500 0.381 x4
In 0.500 0.500 0.195 x2
Co 0.000 0.000 0.500 x1


3.
First-principles (PBE) data for a relaxed Mg2InCo2 crystal, as listed in Alexandria.

Results
DFT total energy: -3.99 eV/atom
formation energy from the elements: 38 meV/atom
polymorph energy (0 for the lowest one): 0.000 kcal/mol of atoms
ρ: 5.58 g cm⁻³
calculated volume: 16.75 Å³ per atom

Unit cell a=6.395 b=6.395 c=4.096 alpha=90.00 beta=90.00 gamma=90.00
Space group P4/mbm (No. 127)
Unique sites:
Mg 0.166 0.334 0.000 x4
In 0.000 0.000 0.500 x2
Co 0.123 0.623 0.500 x4


4.
First-principles (PBE) data for a relaxed MgIn4Co crystal, as listed in Alexandria.

Results
DFT total energy: -2.74 eV/atom
formation energy from the elements: 538 meV/atom
polymorph energy (0 for the lowest one): 12.225 kcal/mol of atoms
ρ: 6.16 g cm⁻³
calculated volume: 24.39 Å³ per atom

Unit cell a=8.366 b=8.366 c=8.366 alpha=90.00 beta=90.00 gamma=90.00
Space group F-43m (No. 216)
Unique sites:
Mg 0.000 0.000 0.000 x4
In 0.125 0.125 0.375 x16
Co 0.250 0.250 0.750 x4


5.
First-principles (PBE) data for a relaxed MgIn2Co crystal, as listed in Alexandria.

Results
DFT total energy: -3.39 eV/atom
formation energy from the elements: 156 meV/atom
ρ: 6.47 g cm⁻³
calculated volume: 20.07 Å³ per atom

Unit cell a=3.2381 b=3.2381 c=26.5211 alpha=90.00 beta=90.00 gamma=120.00
Space group R-3m (No. 166, hexagonal axes)
Unique sites:
Mg 0.0000 0.0000 0.0000 x3
In 0.0000 0.0000 0.2394 x6
Co 0.0000 0.0000 0.5000 x3


6.
First-principles (PBE) data for a relaxed MgIn2Co crystal, as listed in Alexandria.

Results
DFT total energy: -3.25 eV/atom
formation energy from the elements: 295 meV/atom
ρ: 6.88 g cm⁻³
calculated volume: 18.89 Å³ per atom

Unit cell a=6.711 b=6.711 c=6.711 alpha=90.00 beta=90.00 gamma=90.00
Space group F-43m (No. 216)
Unique sites:
Mg 0.000 0.000 0.000 x4
In 0.000 0.000 0.500 x4
In 0.250 0.250 0.750 x4
Co 0.250 0.250 0.250 x4


7.
First-principles (PBE) data for a relaxed MgInCo2 crystal, as listed in Alexandria.

Results
DFT total energy: -4.49 eV/atom
formation energy from the elements: 146 meV/atom
ρ: 6.76 g cm⁻³
calculated volume: 15.77 Å³ per atom

Unit cell a=4.076 b=3.057 c=10.126 alpha=90.00 beta=90.00 gamma=90.00
Space group Amm2 (No. 38)
Unique sites:
Mg 0.000 0.000 0.000 x2
In 0.500 0.000 0.331 x2
Co 0.000 0.000 0.715 x2
Co 0.500 0.000 0.607 x2


8.
First-principles (PBE) data for a relaxed MgIn2Co crystal, as listed in Alexandria.

Results
DFT total energy: -3.28 eV/atom
formation energy from the elements: 264 meV/atom
ρ: 5.62 g cm⁻³
calculated volume: 23.13 Å³ per atom

Unit cell a=8.402 b=8.402 c=5.242 alpha=90.00 beta=90.00 gamma=90.00
Space group I-42d (No. 122)
Unique sites:
Mg 0.000 0.000 0.000 x4
In 0.147 0.750 0.625 x8
Co 0.000 0.000 0.500 x4


9.
First-principles (PBE) data for a relaxed MgInCo2 crystal, as listed in Alexandria.

Results
DFT total energy: -4.42 eV/atom
formation energy from the elements: 217 meV/atom
ρ: 7.13 g cm⁻³
calculated volume: 14.97 Å³ per atom

Unit cell a=6.211 b=6.211 c=6.211 alpha=90.00 beta=90.00 gamma=90.00
Space group F-43m (No. 216)
Unique sites:
Mg 0.000 0.000 0.000 x4
In 0.250 0.250 0.250 x4
Co 0.000 0.000 0.500 x4
Co 0.250 0.250 0.750 x4


10.
First-principles (PBE) data for a relaxed MgIn2Co crystal, as listed in Alexandria.

Results
DFT total energy: -3.40 eV/atom
formation energy from the elements: 143 meV/atom
ρ: 6.67 g cm⁻³
calculated volume: 19.48 Å³ per atom

Unit cell a=9.754 b=3.420 c=4.996 alpha=90.00 beta=110.77 gamma=90.00
Space group C2/m (No. 12)
Unique sites:
Mg 0.000 0.000 0.000 x2
In 0.222 0.000 0.718 x4
Co 0.000 0.500 0.500 x2


11.
First-principles (PBE) data for a relaxed MgMnInCo crystal, as listed in Alexandria.

Results
DFT total energy: -5.02 eV/atom
formation energy from the elements: 129 meV/atom
ρ: 6.66 g cm⁻³
calculated volume: 15.76 Å³ per atom

Unit cell a=6.318 b=6.318 c=6.318 alpha=90.00 beta=90.00 gamma=90.00
Space group F-43m (No. 216)
Unique sites:
Mg 0.000 0.000 0.000 x4
Mn 0.250 0.250 0.750 x4
In 0.000 0.000 0.500 x4
Co 0.250 0.250 0.250 x4


12.
First-principles (PBE) data for a relaxed MgInCo2Mo crystal, as listed in Alexandria.

Results
DFT total energy: -4.48 eV/atom
formation energy from the elements: 1399 meV/atom
ρ: 6.55 g cm⁻³
calculated volume: 17.90 Å³ per atom

Unit cell a=4.343 b=4.343 c=4.745 alpha=90.00 beta=90.00 gamma=90.00
Space group P4/mmm (No. 123)
Unique sites:
Mg 0.000 0.000 0.000 x1
In 0.500 0.500 0.500 x1
Co 0.000 0.500 0.000 x2
Mo 0.000 0.000 0.500 x1


13.
First-principles (PBE) data for a relaxed Mg2InCoN crystal, as listed in Alexandria.

Results
DFT total energy: -4.41 eV/atom
ρ: 5.24 g cm⁻³
calculated volume: 14.98 Å³ per atom

Unit cell a=4.433 b=4.433 c=3.811 alpha=90.00 beta=90.00 gamma=90.00
Space group P4/mmm (No. 123)
Unique sites:
Mg 0.000 0.500 0.000 x2
In 0.000 0.000 0.500 x1
Co 0.500 0.500 0.500 x1
N 0.500 0.500 0.000 x1


14.
First-principles (PBE) data for a relaxed NaMg2InCo crystal, as listed in Alexandria.

Results
DFT total energy: -2.81 eV/atom
formation energy from the elements: 61 meV/atom
ρ: 3.42 g cm⁻³
calculated volume: 23.79 Å³ per atom

Unit cell a=4.906 b=4.906 c=4.943 alpha=90.00 beta=90.00 gamma=90.00
Space group P4/mmm (No. 123)
Unique sites:
Na 0.000 0.000 0.000 x1
Mg 0.000 0.500 0.500 x2
In 0.500 0.500 0.000 x1
Co 0.500 0.500 0.500 x1


15.
First-principles (PBE) data for a relaxed MgNbIn2Co crystal, as listed in Alexandria.

Results
DFT total energy: -4.23 eV/atom
formation energy from the elements: 624 meV/atom
ρ: 6.29 g cm⁻³
calculated volume: 21.42 Å³ per atom

Unit cell a=4.818 b=4.818 c=4.612 alpha=90.00 beta=90.00 gamma=90.00
Space group P4/mmm (No. 123)
Unique sites:
Mg 0.000 0.000 0.000 x1
Nb 0.500 0.500 0.000 x1
In 0.000 0.500 0.500 x2
Co 0.000 0.000 0.500 x1


16.
First-principles (PBE) data for a relaxed MgInCoNi crystal, as listed in Alexandria.

Results
DFT total energy: -4.35 eV/atom
formation energy from the elements: -48 meV/atom
ρ: 7.27 g cm⁻³
calculated volume: 14.67 Å³ per atom

Unit cell a=6.168 b=6.168 c=6.168 alpha=90.00 beta=90.00 gamma=90.00
Space group F-43m (No. 216)
Unique sites:
Mg 0.000 0.000 0.000 x4
In 0.000 0.000 0.500 x4
Co 0.250 0.250 0.750 x4
Ni 0.250 0.250 0.250 x4